Record 1
NaVAg2O4: relaxed, PBE with a Hubbard U.

**Energy**: -0.203 hartree per atom

Cell: 5.0218 5.0218 9.9964 Å, 90.00 90.00 90.00°
Closest atoms and distances in Å follow each position.
Space group I-42m (No. 121)
One atom of each set of equivalent atoms:
Na  0.0000  0.0000  0.0000 (multiplicity 2)  4 O 2.33
V  0.0000  0.0000  0.5000 (multiplicity 2)  4 O 1.76
Ag  0.0000  0.5000  0.2500 (multiplicity 4)  4 O 2.34
O  0.2035  0.2035  0.6005 (multiplicity 8)  1 V 1.76



Record 2
Na3V4AgO12: relaxed, PBE with a Hubbard U.

**Energy**: -0.227 hartree per atom

Cell: 12.0264 12.0264 7.0334 Å, 90.00 90.00 120.00°
Closest atoms and distances in Å follow each position.
Space group R32 (No. 155, hexagonal axes)
One atom of each set of equivalent atoms:
Na  0.0000  0.5695  0.0000 (multiplicity 9)  6 O 2.28-2.35
V  0.0000  0.0000  0.5000 (multiplicity 3)  3 O 1.68
V  0.0000  0.4292  0.5000 (multiplicity 9)  3 O 1.67-1.73
Ag  0.0000  0.0000  0.0000 (multiplicity 3)  6 O 2.91
O  0.0000  0.5677  0.5000 (multiplicity 9)  1 V 1.67
O  0.0000  0.8603  0.5000 (multiplicity 9)  1 V 1.68
O  0.0519  0.2455  0.1577 (multiplicity 18)  1 V 1.73



Record 3
Na2VAgO4: relaxed, PBE with a Hubbard U.

**Energy**: -0.209 hartree per atom

Cell: 7.0743 6.1301 5.7421 Å, 90.00 90.00 90.00°
Closest atoms and distances in Å follow each position.
Space group Pmn2_1 (No. 31)
One atom of each set of equivalent atoms:
Na  0.2476  0.1783  0.0000 (multiplicity 4)  4 O 2.28-2.34
V  0.0000  0.6746  0.0035 (multiplicity 2)  4 O 1.74-1.76
Ag  0.0000  0.3241  0.4974 (multiplicity 2)  4 O 2.33-2.44
O  0.0000  0.4048  0.9034 (multiplicity 2)  1 V 1.75
O  0.0000  0.6790  0.3063 (multiplicity 2)  1 V 1.74
O  0.2027  0.8129  0.9033 (multiplicity 4)  1 V 1.76